{"formula": "Tb5Pd2", "functional": "GGA-PBE", "state": "optimized geometry", "n_ef_per_ev_cell": 17.31, "spacegroup": "C2/c", "ef_mev_per_atom": -517.1, "final_energy_ev_per_atom": -5.308, "lattice": [[8.329, -3.286, 0.000], [8.329, 3.286, 0.000], [-0.796, 0.000, 7.023]], "species": ["Tb", "Tb", "Tb", "Tb", "Tb", "Tb", "Tb", "Tb", "Tb", "Tb", "Pd", "Pd", "Pd", "Pd"], "frac_coords": [[0.068, 0.932, 0.750], [0.153, 0.288, 0.309], [0.288, 0.153, 0.809], [0.292, 0.518, 0.070], [0.482, 0.708, 0.430], [0.518, 0.292, 0.570], [0.708, 0.482, 0.930], [0.712, 0.847, 0.191], [0.847, 0.712, 0.691], [0.932, 0.068, 0.250], [0.090, 0.688, 0.432], [0.312, 0.910, 0.068], [0.688, 0.090, 0.932], [0.910, 0.312, 0.568]]}


{"formula": "PrZnIn", "functional": "GGA-PBE", "state": "optimized geometry", "n_ef_per_ev_cell": 5.66, "spacegroup": "P6_3/mmc", "ef_mev_per_atom": -444.3, "final_energy_ev_per_atom": -3.375, "lattice": [[4.773, 0.000, 0.000], [-2.387, 4.134, 0.000], [0.000, 0.000, 15.298]], "species": ["Pr", "Pr", "Pr", "Pr", "Zn", "Zn", "Zn", "Zn", "In", "In", "In", "In"], "frac_coords": [[0.000, 0.000, 0.000], [0.000, 0.000, 0.250], [0.000, 0.000, 0.500], [0.000, 0.000, 0.750], [0.333, 0.667, 0.110], [0.333, 0.667, 0.390], [0.667, 0.333, 0.610], [0.667, 0.333, 0.890], [0.333, 0.667, 0.624], [0.333, 0.667, 0.876], [0.667, 0.333, 0.124], [0.667, 0.333, 0.376]]}


{"formula": "CdFe2Cu", "functional": "GGA-PBE", "state": "optimized geometry", "n_ef_per_ev_cell": 4.07, "spacegroup": "C2/m", "ef_mev_per_atom": 332.8, "final_energy_ev_per_atom": -5.151, "lattice": [[2.643, -3.979, 0.000], [2.643, 3.979, 0.000], [-0.021, 0.000, 2.687]], "species": ["Cd", "Fe", "Fe", "Cu"], "frac_coords": [[0.000, 0.000, 0.000], [0.000, 0.500, 0.500], [0.500, 0.000, 0.500], [0.500, 0.500, 0.000]]}


{"formula": "HOs2", "functional": "GGA-PBE", "state": "optimized geometry", "n_ef_per_ev_cell": 2.32, "spacegroup": "R-3m", "de_polymorph_ev_per_fu": 0.09, "final_energy_ev_per_atom": -8.286, "lattice": [[1.392, 0.804, 4.598], [-1.392, 0.804, 4.598], [0.000, -1.607, 4.598]], "species": ["H", "Os", "Os"], "frac_coords": [[0.000, 0.000, 0.000], [0.244, 0.244, 0.244], [0.756, 0.756, 0.756]]}


{"formula": "FeS2BrCl", "functional": "GGA-PBE", "state": "optimized geometry", "n_ef_per_ev_cell": 6.47, "spacegroup": "P4/mmm", "de_polymorph_ev_per_fu": 0.00, "e_form_raw_ev_per_atom": 0.34, "final_energy_ev_per_atom": -3.708, "lattice": [[4.443, 0.000, 0.000], [0.000, 4.443, 0.000], [0.000, 0.000, 4.702]], "species": ["Fe", "S", "S", "Br", "Cl"], "frac_coords": [[0.000, 0.000, 0.000], [0.000, 0.500, 0.000], [0.500, 0.000, 0.000], [0.500, 0.500, 0.500], [0.000, 0.000, 0.500]]}


{"formula": "Cu4Ge2Pd", "functional": "GGA-PBE", "state": "optimized geometry", "n_ef_per_ev_cell": 2.93, "spacegroup": "I4/mmm", "ef_mev_per_atom": 525.1, "final_energy_ev_per_atom": -3.877, "lattice": [[-2.343, 2.343, 6.043], [2.343, -2.343, 6.043], [2.343, 2.343, -6.043]], "species": ["Cu", "Cu", "Cu", "Cu", "Ge", "Ge", "Pd"], "frac_coords": [[0.000, 0.500, 0.500], [0.204, 0.204, 0.000], [0.500, 0.000, 0.500], [0.796, 0.796, 0.000], [0.395, 0.395, 0.000], [0.605, 0.605, 0.000], [0.000, 0.000, 0.000]]}


{"formula": "Ti2TlCrI", "functional": "GGA-PBE", "state": "optimized geometry", "n_ef_per_ev_cell": 6.45, "spacegroup": "P4/mmm", "e_form_raw_ev_per_atom": 1.04, "final_energy_ev_per_atom": -4.823, "lattice": [[5.027, 0.000, 0.000], [0.000, 5.027, 0.000], [0.000, 0.000, 4.950]], "species": ["Ti", "Ti", "Tl", "Cr", "I"], "frac_coords": [[0.000, 0.500, 0.000], [0.500, 0.000, 0.000], [0.000, 0.000, 0.500], [0.500, 0.500, 0.500], [0.500, 0.500, 0.000]]}


{"formula": "K3In2Bi2", "functional": "GGA-PBE", "state": "optimized geometry", "n_ef_per_ev_cell": 2.78, "spacegroup": "Immm", "ef_mev_per_atom": -299.1, "final_energy_ev_per_atom": -2.661, "lattice": [[-2.384, 2.785, 10.874], [2.384, -2.785, 10.874], [2.384, 2.785, -10.874]], "species": ["K", "K", "K", "In", "In", "Bi", "Bi"], "frac_coords": [[0.000, 0.000, 0.000], [0.185, 0.685, 0.500], [0.815, 0.315, 0.500], [0.436, 0.436, 0.000], [0.564, 0.564, 0.000], [0.357, 0.857, 0.500], [0.643, 0.143, 0.500]]}